Record 1
## La2ErPaAs4 (PBE)

Data for La2ErPaAs4 after structural relaxation.

Cell lengths 4.222, 7.262, 7.364 Å; angles 109.37, 90.00, 90.00 degrees
Fractional positions:
Pa (0.500, 0.500, 0.000)
La (0.000, 0.500, 0.500)
La (0.500, 0.000, 0.500)
As (0.000, 0.258, 0.770)
As (0.000, 0.742, 0.230)
As (0.500, 0.753, 0.769)
As (0.500, 0.247, 0.231)
Er (0.000, 0.000, 0.000)

## Properties
ΔH_f (0 K)   -1.43 eV per atom
Energy   -6.74 eV/atom

---

Record 2
## CsNiH8Ir2 (PBE)

Data for CsNiH8Ir2 after structural relaxation.

Cell lengths 4.703, 4.703, 7.685 Å; angles 72.18, 72.18, 60.00 degrees
Fractional positions:
H (0.351, 0.734, 0.865)
H (0.734, 0.050, 0.865)
H (0.767, 0.767, 0.698)
H (0.649, 0.266, 0.135)
H (0.233, 0.233, 0.302)
H (0.050, 0.351, 0.865)
H (0.266, 0.950, 0.135)
H (0.950, 0.649, 0.135)
Ir (0.306, 0.306, 0.081)
Ir (0.694, 0.694, 0.919)
Cs (0.500, 0.500, 0.500)
Ni (0.000, 0.000, 0.000)

## Properties
Energy   -4.29 eV/atom

---

Record 3
## LaH2Br (PBE)

Data for LaH2Br after structural relaxation.

Cell lengths 4.642, 4.642, 8.020 Å; angles 73.18, 73.18, 90.00 degrees
Fractional positions:
H (0.875, 0.126, 0.750)
H (0.874, 0.625, 0.250)
H (0.375, 0.124, 0.750)
H (0.876, 0.125, 0.250)
Br (0.500, 0.500, 0.000)
Br (0.250, 0.750, 0.500)
La (0.000, 0.000, 0.000)
La (0.750, 0.250, 0.500)

## Properties
Energy   -4.15 eV/atom
Excess energy over the best structure of this formula in the dataset   257.1 meV/atom

---

Record 4
## CuHgWCl2 (PBE)

Data for CuHgWCl2 after structural relaxation.

Cell lengths 4.574, 5.790, 4.574 Å; angles 90.00, 90.00, 90.00 degrees
Fractional positions:
Cl (0.000, 0.000, 0.500)
Cl (0.500, 0.000, 0.000)
Cu (0.500, 0.500, 0.500)
Hg (0.000, 0.500, 0.000)
W (0.000, 0.000, 0.000)

## Properties
Energy   -3.65 eV/atom

---

Record 5
## Nd6Tl2HgO (PBE)

Data for Nd6Tl2HgO after structural relaxation.

Cell lengths 5.493, 5.493, 10.659 Å; angles 90.00, 90.00, 90.00 degrees
Fractional positions:
Nd (0.000, 0.500, 0.000)
Nd (0.500, 0.000, 0.500)
Nd (0.500, 0.000, 0.000)
Nd (0.500, 0.500, 0.719)
Nd (0.000, 0.500, 0.500)
Nd (0.500, 0.500, 0.281)
O (0.500, 0.500, 0.500)
Tl (0.000, 0.000, 0.730)
Tl (0.000, 0.000, 0.270)
Hg (0.500, 0.500, 0.000)

## Properties
Energy   -4.33 eV/atom

---

Record 6
## CsTlAgCl6 (PBE)

Data for CsTlAgCl6 after structural relaxation.

Cell lengths 6.785, 7.311, 7.717 Å; angles 94.91, 92.65, 57.41 degrees
Fractional positions:
Tl (0.358, 0.321, 0.500)
Cl (0.988, 0.391, 0.302)
Cl (0.612, 0.367, 0.727)
Cl (0.368, 0.628, 0.328)
Cl (0.611, 0.022, 0.273)
Cl (0.368, 0.004, 0.672)
Cl (0.988, 0.622, 0.698)
Ag (0.667, 0.667, 0.500)
Cs (0.041, 0.980, 0.000)

## Properties
Energy   -2.78 eV/atom

---

Number 1: magnetic moment 0.01 μB per formula unit, DOS at the Fermi energy 0.66 states/eV per atom. Number 2: magnetic moment 0.00 μB per formula unit, DOS at the Fermi energy 0.21 states/eV per atom. Number 3: magnetic moment 0.00 μB per formula unit, DOS at the Fermi energy 0.00 states/eV per atom. Number 4: magnetic moment 0.00 μB per formula unit, DOS at the Fermi energy 0.63 states/eV per atom. Number 5: magnetic moment 0.00 μB per formula unit, DOS at the Fermi energy 0.72 states/eV per atom. Number 6: magnetic moment 1.06 μB per formula unit, DOS at the Fermi energy 0.12 states/eV per atom.